1.
# HoScNO

A relaxed structure of HoScNO (PBE, OQMD).

The structure in CIF format:
```
data_HoScNO
_chemical_formula_sum 'Ho1 Sc1 N1 O1'
_cell_length_a 3.328
_cell_length_b 3.328
_cell_length_c 4.585
_cell_angle_alpha 90.00
_cell_angle_beta 90.00
_cell_angle_gamma 90.00
_space_group_name_H-M_alt 'P 4/m m m'
_space_group_IT_number 123
_space_group_name_Hall '-P 4 2'
loop_
_atom_site_label
_atom_site_type_symbol
_atom_site_fract_x
_atom_site_fract_y
_atom_site_fract_z
Ho1 Ho 0.000 0.000 0.000
Sc1 Sc 0.500 0.500 0.500
N1 N 0.500 0.500 0.000
O1 O 0.000 0.000 0.500
```

Output
The total DFT energy (no corrections) comes out at -8.405 eV/atom. For the energy above the lowest structure with this stoichiometry, the calculation gives 0.000 eV/f.u. The value obtained for the size of the total moment is 0.0 μB per formula unit.

---

2.
# HoScNO

A relaxed structure of HoScNO (PBE, OQMD).

The structure in CIF format:
```
data_HoScNO
_chemical_formula_sum 'Ho4 Sc4 N4 O4'
_cell_length_a 7.738
_cell_length_b 6.336
_cell_length_c 4.687
_cell_angle_alpha 90.00
_cell_angle_beta 90.00
_cell_angle_gamma 90.00
_space_group_name_H-M_alt 'P b c m'
_space_group_IT_number 57
loop_
_space_group_symop_operation_xyz
'x,y,z'
'-x,-y,-z'
'-x,-y,z+1/2'
'x,y,-z+1/2'
'x,-y+1/2,-z'
'-x,y+1/2,z'
'-x,y+1/2,-z+1/2'
'x,-y+1/2,z+1/2'
loop_
_atom_site_label
_atom_site_type_symbol
_atom_site_fract_x
_atom_site_fract_y
_atom_site_fract_z
Ho1 Ho 0.130 0.063 0.250
Sc1 Sc 0.382 0.588 0.250
N1 N 0.387 0.581 0.750
O1 O 0.146 0.087 0.750
```

Output
The total DFT energy (no corrections) comes out at -8.318 eV/atom. For the energy above the lowest structure with this stoichiometry, the calculation gives 0.346 eV/f.u. The value obtained for the size of the total moment is 0.0 μB per formula unit.

---

3.
# HoScNO

A relaxed structure of HoScNO (PBE, OQMD).

The structure in CIF format:
```
data_HoScNO
_chemical_formula_sum 'Ho4 Sc4 N4 O4'
_cell_length_a 7.807
_cell_length_b 6.356
_cell_length_c 4.738
_cell_angle_alpha 90.00
_cell_angle_beta 90.00
_cell_angle_gamma 90.00
_space_group_name_H-M_alt 'P b c m'
_space_group_IT_number 57
loop_
_space_group_symop_operation_xyz
'x,y,z'
'-x,-y,-z'
'-x,-y,z+1/2'
'x,y,-z+1/2'
'x,-y+1/2,-z'
'-x,y+1/2,z'
'-x,y+1/2,-z+1/2'
'x,-y+1/2,z+1/2'
loop_
_atom_site_label
_atom_site_type_symbol
_atom_site_fract_x
_atom_site_fract_y
_atom_site_fract_z
Ho1 Ho 0.133 0.075 0.250
Sc1 Sc 0.383 0.575 0.250
N1 N 0.139 0.062 0.750
O1 O 0.384 0.597 0.750
```

Output
The total DFT energy (no corrections) comes out at -8.297 eV/atom. For the energy above the lowest structure with this stoichiometry, the calculation gives 0.429 eV/f.u. The value obtained for the size of the total moment is 0.0 μB per formula unit.

---

4.
# HoScNO

A relaxed structure of HoScNO (PBE, OQMD).

The structure in CIF format:
```
data_HoScNO
_chemical_formula_sum 'Ho2 Sc2 N2 O2'
_cell_length_a 4.633
_cell_length_b 3.823
_cell_length_c 6.608
_cell_angle_alpha 90.00
_cell_angle_beta 90.00
_cell_angle_gamma 90.00
_space_group_name_H-M_alt 'P m m a'
_space_group_IT_number 51
loop_
_space_group_symop_operation_xyz
'x,y,z'
'-x,-y,-z'
'-x+1/2,-y,z'
'x+1/2,y,-z'
'x+1/2,-y,-z'
'-x+1/2,y,z'
'-x,y,-z'
'x,-y,z'
loop_
_atom_site_label
_atom_site_type_symbol
_atom_site_fract_x
_atom_site_fract_y
_atom_site_fract_z
Ho1 Ho 0.250 0.000 0.168
Sc1 Sc 0.250 0.500 0.662
N1 N 0.250 0.500 0.348
O1 O 0.250 0.000 0.811
```

Output
The total DFT energy (no corrections) comes out at -8.341 eV/atom. For the energy above the lowest structure with this stoichiometry, the calculation gives 0.254 eV/f.u. The value obtained for the size of the total moment is 0.0 μB per formula unit.

---

5.
# HoScNO

A relaxed structure of HoScNO (PBE, OQMD).

The structure in CIF format:
```
data_HoScNO
_chemical_formula_sum 'Ho2 Sc2 N2 O2'
_cell_length_a 3.925
_cell_length_b 3.925
_cell_length_c 7.916
_cell_angle_alpha 90.00
_cell_angle_beta 90.00
_cell_angle_gamma 90.00
_space_group_name_H-M_alt 'P 4/n m m'
_space_group_IT_number 129
loop_
_space_group_symop_operation_xyz
'x,y,z'
'-x,-y,-z'
'-y+1/2,x,z'
'y+1/2,-x,-z'
'-x+1/2,-y+1/2,z'
'x+1/2,y+1/2,-z'
'y,-x+1/2,z'
'-y,x+1/2,-z'
'x+1/2,-y,-z'
'-x+1/2,y,z'
'-y,-x,-z'
'y,x,z'
'-x,y+1/2,-z'
'x,-y+1/2,z'
'y+1/2,x+1/2,-z'
'-y+1/2,-x+1/2,z'
loop_
_atom_site_label
_atom_site_type_symbol
_atom_site_fract_x
_atom_site_fract_y
_atom_site_fract_z
Ho1 Ho 0.250 0.250 0.130
Sc1 Sc 0.250 0.750 0.500
N1 N 0.250 0.250 0.627
O1 O 0.250 0.750 0.000
```

Output
The total DFT energy (no corrections) comes out at -8.011 eV/atom. For the energy above the lowest structure with this stoichiometry, the calculation gives 1.575 eV/f.u. The value obtained for the size of the total moment is 0.1 μB per formula unit.

---

6.
# Ho3Se2NO

A relaxed structure of Ho3Se2NO (PBE, OQMD).

The structure in CIF format:
```
data_Ho3Se2NO
_chemical_formula_sum 'Ho12 Se8 N4 O4'
_cell_length_a 15.404
_cell_length_b 3.877
_cell_length_c 9.625
_cell_angle_alpha 90.00
_cell_angle_beta 97.37
_cell_angle_gamma 90.00
_space_group_name_H-M_alt 'C 1 2/m 1'
_space_group_IT_number 12
loop_
_space_group_symop_operation_xyz
'x,y,z'
'-x,-y,-z'
'-x,y,-z'
'x,-y,z'
'x+1/2,y+1/2,z'
'-x+1/2,-y+1/2,-z'
'-x+1/2,y+1/2,-z'
'x+1/2,-y+1/2,z'
loop_
_atom_site_label
_atom_site_type_symbol
_atom_site_fract_x
_atom_site_fract_y
_atom_site_fract_z
Ho1 Ho 0.044 0.000 0.260
Ho2 Ho 0.108 0.500 0.945
Ho3 Ho 0.197 0.000 0.675
Se1 Se 0.128 0.500 0.473
Se2 Se 0.212 0.000 0.150
N1 N 0.097 0.000 0.812
O1 O 0.036 0.500 0.140
```

Output
The total DFT energy (no corrections) comes out at -7.152 eV/atom. The value obtained for the size of the total moment is 0.0 μB per formula unit.

---

7.
# SmHoNO

A relaxed structure of SmHoNO (PBE, OQMD).

The structure in CIF format:
```
data_SmHoNO
_chemical_formula_sum 'Sm2 Ho2 N2 O2'
_cell_length_a 4.961
_cell_length_b 4.006
_cell_length_c 6.954
_cell_angle_alpha 90.00
_cell_angle_beta 90.00
_cell_angle_gamma 90.00
_space_group_name_H-M_alt 'P m m a'
_space_group_IT_number 51
loop_
_space_group_symop_operation_xyz
'x,y,z'
'-x,-y,-z'
'-x+1/2,-y,z'
'x+1/2,y,-z'
'x+1/2,-y,-z'
'-x+1/2,y,z'
'-x,y,-z'
'x,-y,z'
loop_
_atom_site_label
_atom_site_type_symbol
_atom_site_fract_x
_atom_site_fract_y
_atom_site_fract_z
Sm1 Sm 0.250 0.000 0.163
Ho1 Ho 0.250 0.500 0.670
N1 N 0.250 0.000 0.825
O1 O 0.250 0.500 0.345
```

Output
The total DFT energy (no corrections) comes out at -7.795 eV/atom. For the energy above the lowest structure with this stoichiometry, the calculation gives 0.317 eV/f.u. The value obtained for the size of the total moment is 0.0 μB per formula unit.

---

8.
# SmHoNO

A relaxed structure of SmHoNO (PBE, OQMD).

The structure in CIF format:
```
data_SmHoNO
_chemical_formula_sum 'Sm4 Ho4 N4 O4'
_cell_length_a 8.138
_cell_length_b 6.670
_cell_length_c 5.024
_cell_angle_alpha 90.00
_cell_angle_beta 90.00
_cell_angle_gamma 90.00
_space_group_name_H-M_alt 'P b c m'
_space_group_IT_number 57
loop_
_space_group_symop_operation_xyz
'x,y,z'
'-x,-y,-z'
'-x,-y,z+1/2'
'x,y,-z+1/2'
'x,-y+1/2,-z'
'-x,y+1/2,z'
'-x,y+1/2,-z+1/2'
'x,-y+1/2,z+1/2'
loop_
_atom_site_label
_atom_site_type_symbol
_atom_site_fract_x
_atom_site_fract_y
_atom_site_fract_z
Sm1 Sm 0.129 0.081 0.250
Ho1 Ho 0.380 0.573 0.250
N1 N 0.132 0.064 0.750
O1 O 0.379 0.597 0.750
```

Output
The total DFT energy (no corrections) comes out at -7.768 eV/atom. For the energy above the lowest structure with this stoichiometry, the calculation gives 0.425 eV/f.u. The value obtained for the size of the total moment is 0.0 μB per formula unit.